Below is CsSn4Se5 after structural relaxation, with properties calculated at the PBE level.

It has space group C2/m (No. 12), with a = 14.053 Å, b = 4.278 Å, c = 12.076 Å, α = 90.00°, β = 118.60° and γ = 90.00°. The asymmetric unit holds Cs at (0.000, 0.000, 0.000), Sn at (0.107, 0.500, 0.411), Sn at (0.180, 0.000, 0.752), Se at (0.000, 0.000, 0.500), Se at (0.093, 0.500, 0.827) and Se at (0.199, 0.000, 0.334).

The value obtained for the uncorrected formation energy is -51.63 kJ per mole of atoms. Its magnetic moment is 0.0 μB per cell.



Below is BaSn2Se3 after structural relaxation, with properties calculated at the PBE level.

It has space group Cmcm (No. 63), with a = 10.953 Å, b = 12.074 Å, c = 6.192 Å, α = 90.00°, β = 90.00° and γ = 90.00°. The asymmetric unit holds Ba at (0.000, 0.141, 0.250), Sn at (0.146, 0.500, 0.000), Se at (0.000, 0.308, 0.750) and Se at (0.173, 0.101, 0.750).

The calculation puts the distance to the lowest polymorph of the same formula at 184 kJ/mol of formula units. The value obtained for the uncorrected formation energy is -60.28 kJ per mole of atoms. Its magnetic moment is 0.0 μB per cell.



Below is MgAgMo2 after structural relaxation, with properties calculated at the PBE level.

It has space group Cmmm (No. 65), with a = 5.275 Å, b = 9.343 Å, c = 2.704 Å, α = 90.00°, β = 90.00° and γ = 90.00°. The asymmetric unit holds Mg at (0.000, 0.000, 0.000), Ag at (0.000, 0.500, 0.000) and Mo at (0.250, 0.250, 0.500).

The formation energy is 0.371 eV/atom. Its magnetic moment is 0.0 μB per cell.



Below is YCr2Sn2 after structural relaxation, with properties calculated at the PBE level.

It has space group I4/mmm (No. 139), with a = 4.667 Å, b = 4.667 Å, c = 9.482 Å, α = 90.00°, β = 90.00° and γ = 90.00°. The asymmetric unit holds Y at (0.000, 0.000, 0.000), Cr at (0.000, 0.000, 0.402) and Sn at (0.000, 0.500, 0.250).

The formation energy is 0.014 eV/atom. The calculation puts the distance to the lowest polymorph of the same formula at 0 kJ/mol of formula units. Its magnetic moment is 0.0 μB per cell.